Record 1
A plane-wave DFT calculation with PBE-GGA was carried out for a relaxed CrFeTc2Cl crystal.

Unit cell a=4.3246 b=4.0171 c=4.3246 alpha=90.00 beta=90.00 gamma=90.00
Element x y z (fractional)
1 Cl 0.0000 0.0000 0.0000
2 Tc 0.5000 0.0000 0.0000
3 Fe 0.0000 0.5000 0.0000
4 Tc 0.0000 0.0000 0.5000
5 Cr 0.5000 0.5000 0.5000

## Properties
space-group type: No. 123
ΔE_f (raw): 1312 meV per atom

Record 2
A plane-wave DFT calculation with PBE-GGA was carried out for a relaxed Mo3OsS crystal.

Unit cell a=4.3570 b=4.3570 c=4.3570 alpha=90.00 beta=90.00 gamma=90.00
Element x y z (fractional)
1 Mo 0.5000 0.0000 0.0000
2 Mo 0.0000 0.0000 0.5000
3 Os 0.5000 0.5000 0.5000
4 S 0.0000 0.0000 0.0000
5 Mo 0.0000 0.5000 0.0000

## Properties
space-group type: No. 221
energy above the lowest structure with this stoichiometry: 0.000 eV/atom
ΔE_f (raw): 753 meV per atom

Record 3
A plane-wave DFT calculation with PBE-GGA was carried out for a relaxed ZrNi2H6 crystal.

Unit cell a=3.9621 b=4.2524 c=4.2524 alpha=120.00 beta=90.00 gamma=90.00
Element x y z (fractional)
1 Ni 0.5000 0.6667 0.3333
2 H 0.7726 0.4999 0.4999
3 Ni 0.5000 0.3333 0.6667
4 H 0.2274 0.4999 0.0000
5 H 0.7726 0.5001 0.0000
6 H 0.7726 0.0000 0.5001
7 H 0.2274 0.5001 0.5001
8 Zr 0.0000 0.0000 0.0000
9 H 0.2274 0.0000 0.4999

## Properties
E: -42.018 eV per formula unit
space-group type: No. 191

Record 4
A plane-wave DFT calculation with PBE-GGA was carried out for a relaxed Sr2LiAcSe4 crystal.

Unit cell a=4.4548 b=7.5085 c=7.6392 alpha=108.95 beta=90.00 gamma=90.00
Element x y z (fractional)
1 Li 0.5000 0.5000 0.0000
2 Se 0.0000 0.7477 0.2454
3 Sr 0.5000 0.0000 0.5000
4 Ac 0.0000 0.0000 0.0000
5 Se 0.5000 0.7458 0.7571
6 Se 0.0000 0.2523 0.7546
7 Se 0.5000 0.2542 0.2429
8 Sr 0.0000 0.5000 0.5000

## Properties
space-group type: No. 10
ΔE_f (raw): -1853 meV per atom

Record 5
A plane-wave DFT calculation with PBE-GGA was carried out for a relaxed LaEu2Tm crystal.

Unit cell a=3.6975 b=3.6975 c=10.7124 alpha=90.00 beta=90.00 gamma=90.00
Element x y z (fractional)
1 Eu 0.0000 0.0000 0.2403
2 Tm 0.5000 0.5000 0.0000
3 La 0.5000 0.5000 0.5000
4 Eu 0.0000 0.0000 0.7597

## Properties
space-group type: No. 123
formation enthalpy at 0 K: 111 meV per atom
energy above the lowest structure with this stoichiometry: 0.000 eV/atom

Record 6
A plane-wave DFT calculation with PBE-GGA was carried out for a relaxed Ba8IrRh2 crystal.

Unit cell a=7.7630 b=9.1714 c=8.6837 alpha=121.91 beta=90.39 gamma=89.98
Element x y z (fractional)
1 Ir 0.0000 0.0000 0.0000
2 Ba 0.6853 0.3769 0.7536
3 Ba 0.3147 0.6231 0.2464
4 Rh 0.9814 0.2675 0.5350
5 Ba 0.1608 0.1056 0.7410
6 Ba 0.8392 0.8944 0.2590
7 Ba 0.6996 0.8706 0.7411
8 Rh 0.0186 0.7325 0.4650
9 Ba 0.3004 0.1294 0.2589
10 Ba 0.1608 0.6354 0.7409
11 Ba 0.8392 0.3646 0.2591

## Properties
space-group type: No. 12
formation enthalpy at 0 K: -125 meV per atom
energy above the lowest structure with this stoichiometry: 0.000 eV/atom

Record 7
A plane-wave DFT calculation with PBE-GGA was carried out for a relaxed CeYNiRh crystal.

Unit cell a=4.8771 b=4.8771 c=4.8771 alpha=60.00 beta=60.00 gamma=60.00
Element x y z (fractional)
1 Ni 0.5000 0.5000 0.5000
2 Y 0.7500 0.7500 0.7500
3 Ce 0.2500 0.2500 0.2500
4 Rh 0.0000 0.0000 0.0000

## Properties
space-group type: No. 216
formation enthalpy at 0 K: -502 meV per atom
energy above the lowest structure with this stoichiometry: 0.089 eV/atom

Record 8
A plane-wave DFT calculation with PBE-GGA was carried out for a relaxed AcFe2B6 crystal.

Unit cell a=3.2116 b=5.5204 c=5.5204 alpha=71.76 beta=73.09 gamma=73.09
Element x y z (fractional)
1 B 0.5000 0.6341 0.3659
2 Ac 0.0000 0.0000 0.0000
3 B 0.6977 0.0719 0.5327
4 B 0.5000 0.3659 0.6341
5 Fe 0.8434 0.6566 0.6566
6 B 0.3023 0.9281 0.4673
7 B 0.6977 0.5327 0.0719
8 Fe 0.1566 0.3434 0.3434
9 B 0.3023 0.4673 0.9281

## Properties
space-group type: No. 71
formation enthalpy at 0 K: -354 meV per atom

Record 9
A plane-wave DFT calculation with PBE-GGA was carried out for a relaxed TaSbN3 crystal.

Unit cell a=4.0738 b=4.0738 c=4.0738 alpha=90.00 beta=90.00 gamma=90.00
Element x y z (fractional)
1 Ta 0.0000 0.0000 0.0000
2 N 0.0000 0.0000 0.5000
3 N 0.5000 0.0000 0.0000
4 N 0.0000 0.5000 0.0000
5 Sb 0.5000 0.5000 0.5000

## Properties
space-group type: No. 221
ΔE_f (raw): 320 meV per atom

Record 10
A plane-wave DFT calculation with PBE-GGA was carried out for a relaxed IrBr crystal.

Unit cell a=3.8465 b=4.8854 c=4.8849 alpha=62.64 beta=90.00 gamma=90.00
Element x y z (fractional)
1 Br 0.5000 0.7025 0.7025
2 Ir 0.0000 0.4733 0.4733
3 Br 0.0000 0.0475 0.0475
4 Ir 0.5000 0.2767 0.2767

## Properties
space-group type: No. 63
energy above the lowest structure with this stoichiometry: 0.350 eV/atom
ΔE_f (raw): 617 meV per atom

Record 11
A plane-wave DFT calculation with PBE-GGA was carried out for a relaxed DyC4 crystal.

Unit cell a=4.5034 b=4.5034 c=4.5034 alpha=90.00 beta=90.00 gamma=90.00
Element x y z (fractional)
1 C 0.5000 0.5000 0.0000
2 Dy 0.5000 0.5000 0.5000
3 C 0.0000 0.0000 0.0000
4 C 0.5000 0.0000 0.5000
5 C 0.0000 0.5000 0.5000

## Properties
space-group type: No. 221
formation enthalpy at 0 K: 4110 meV per atom

Record 12
A plane-wave DFT calculation with PBE-GGA was carried out for a relaxed TcAs2Se crystal.

Unit cell a=4.8823 b=4.8823 c=4.8823 alpha=129.35 beta=129.35 gamma=74.44
Element x y z (fractional)
1 Se 0.2500 0.7500 0.5000
2 As 0.0000 0.0000 0.0000
3 Tc 0.7500 0.2500 0.5000
4 As 0.5000 0.5000 0.0000

## Properties
space-group type: No. 139
energy above the lowest structure with this stoichiometry: 0.481 eV/atom
ΔE_f (raw): 451 meV per atom

Record 13
A plane-wave DFT calculation with PBE-GGA was carried out for a relaxed ScCuOs2 crystal.

Unit cell a=2.7329 b=2.7329 c=8.8668 alpha=90.00 beta=90.00 gamma=112.34
Element x y z (fractional)
1 Os 0.0000 0.0000 0.9998
2 Cu 0.5000 0.5000 0.7563
3 Sc 0.0000 0.0000 0.4960
4 Os 0.5000 0.5000 0.2479

## Properties
space-group type: No. 35
formation enthalpy at 0 K: 408 meV per atom
energy above the lowest structure with this stoichiometry: 0.433 eV/atom

Number 1: M_tot 1.89 μB/f.u.. Number 2: M_tot 0.00 μB/f.u.. Number 3: M_tot 0.00 μB/f.u.. Number 4: M_tot 0.00 μB/f.u.. Number 5: M_tot 15.26 μB/f.u.. Number 6: M_tot 0.00 μB/f.u.. Number 7: M_tot 0.53 μB/f.u.. Number 8: M_tot 0.00 μB/f.u.. Number 9: M_tot 0.00 μB/f.u.. Number 10: M_tot 0.00 μB/f.u.. Number 11: M_tot 0.60 μB/f.u.. Number 12: M_tot 0.00 μB/f.u.. Number 13: M_tot 0.00 μB/f.u..